The following is a DFT calculation (meta-GGA SCAN) of a PBEsol-optimized structure of BaSnAs2.

Properties
DFT total energy, eV/atom: -29.624
Space group: No. 122
ΔH_f (0 K), eV/atom: -0.661
Density, Mg/m³: 5.489

Cell: 6.842 6.842 6.842 Å, 111.58 111.58 105.33°
Fractional coordinates of all 8 atoms:
Ba 0.000 0.000 0.000
Ba 0.750 0.250 0.500
Sn 0.250 0.750 0.500
Sn 0.500 0.500 0.000
As 0.193 0.125 0.568
As 0.375 0.807 0.932
As 0.557 0.625 0.432
As 0.875 0.443 0.068


The following is a DFT calculation (meta-GGA SCAN) of a PBEsol-optimized structure of AgAu2F8.

Properties
DFT total energy, eV/atom: -19.193
Formation energy (no corrections), kJ/mol of atoms: -115.1
Space group: No. 14
Density, Mg/m³: 6.796

Cell: 5.263 11.047 7.294 Å, 90.00 131.12 90.00°
Fractional coordinates of all 22 atoms:
Ag 0.000 0.000 0.000
Ag 0.000 0.500 0.500
Au 0.247 0.181 0.521
Au 0.247 0.319 0.021
Au 0.753 0.681 0.979
Au 0.753 0.819 0.479
F 0.055 0.722 0.767
F 0.055 0.778 0.267
F 0.095 0.030 0.337
F 0.095 0.470 0.837
F 0.402 0.170 0.204
F 0.402 0.330 0.704
F 0.464 0.588 0.677
F 0.464 0.912 0.177
F 0.536 0.088 0.823
F 0.536 0.412 0.323
F 0.598 0.670 0.296
F 0.598 0.830 0.796
F 0.905 0.530 0.163
F 0.905 0.970 0.663
F 0.945 0.222 0.733
F 0.945 0.278 0.233


The following is a DFT calculation (meta-GGA SCAN) of a PBEsol-optimized structure of NbOsPb3.

Properties
DFT total energy, eV/atom: -65.308
Space group: No. 221
E above lowest polymorph, meV per atom: 0.0
ΔH_f (0 K), eV/atom: 1.162
Density, Mg/m³: 10.712

Cell: 5.196 5.196 5.196 Å, 90.00 90.00 90.00°
Fractional coordinates of all 5 atoms:
Nb 0.000 0.000 0.000
Os 0.500 0.500 0.500
Pb 0.000 0.500 0.500
Pb 0.500 0.000 0.500
Pb 0.500 0.500 0.000


The following is a DFT calculation (meta-GGA SCAN) of a PBEsol-optimized structure of Li2MnNiP2O8.

Properties
DFT total energy, eV/atom: -10.223
Formation energy (no corrections), kJ/mol of atoms: -229.3
Space group: No. 11
Density, Mg/m³: 3.724

Cell: 4.688 5.958 10.138 Å, 90.00 90.20 90.00°
Fractional coordinates of all 28 atoms:
Li 0.000 0.000 0.000
Li 0.000 0.500 0.000
Li 0.500 0.000 0.500
Li 0.500 0.500 0.500
Mn 0.021 0.250 0.724
Mn 0.979 0.750 0.276
Ni 0.478 0.250 0.221
Ni 0.522 0.750 0.779
P 0.086 0.750 0.598
P 0.422 0.750 0.088
P 0.578 0.250 0.912
P 0.914 0.250 0.402
O 0.202 0.750 0.455
O 0.228 0.544 0.668
O 0.228 0.956 0.668
O 0.242 0.250 0.397
O 0.252 0.250 0.908
O 0.286 0.543 0.160
O 0.286 0.957 0.160
O 0.294 0.750 0.946
O 0.706 0.250 0.054
O 0.714 0.043 0.840
O 0.714 0.457 0.840
O 0.748 0.750 0.092
O 0.758 0.750 0.603
O 0.772 0.044 0.332
O 0.772 0.456 0.332
O 0.798 0.250 0.545


The following is a DFT calculation (meta-GGA SCAN) of a PBEsol-optimized structure of NaScB4H16.

Properties
DFT total energy, eV/atom: -5.020
Space group: No. 63
Density, Mg/m³: 1.093

Cell: 6.966 6.966 8.544 Å, 90.00 90.00 111.15°
Fractional coordinates of all 44 atoms:
Na 0.000 0.000 0.000
Na 0.000 0.000 0.500
Sc 0.358 0.642 0.750
Sc 0.642 0.358 0.250
B 0.238 0.289 0.750
B 0.245 0.755 0.531
B 0.245 0.755 0.969
B 0.289 0.238 0.250
B 0.711 0.762 0.750
B 0.755 0.245 0.031
B 0.755 0.245 0.469
B 0.762 0.711 0.250
H 0.098 0.359 0.750
H 0.100 0.646 0.616
H 0.100 0.646 0.884
H 0.103 0.174 0.250
H 0.174 0.103 0.750
H 0.188 0.812 0.087
H 0.188 0.812 0.413
H 0.347 0.359 0.634
H 0.347 0.359 0.866
H 0.350 0.650 0.001
H 0.350 0.650 0.499
H 0.354 0.900 0.616
H 0.354 0.900 0.884
H 0.359 0.098 0.250
H 0.359 0.347 0.134
H 0.359 0.347 0.366
H 0.641 0.653 0.634
H 0.641 0.653 0.866
H 0.641 0.902 0.750
H 0.646 0.100 0.116
H 0.646 0.100 0.384
H 0.650 0.350 0.501
H 0.650 0.350 0.999
H 0.653 0.641 0.134
H 0.653 0.641 0.366
H 0.812 0.188 0.587
H 0.812 0.188 0.913
H 0.826 0.897 0.250
H 0.897 0.826 0.750
H 0.900 0.354 0.116
H 0.900 0.354 0.384
H 0.902 0.641 0.250


The following is a DFT calculation (meta-GGA SCAN) of a PBEsol-optimized structure of YMnOs2.

Properties
DFT total energy, eV/atom: -46.982
Space group: No. 160
E above lowest polymorph, meV per atom: 296.3
ΔH_f (0 K), eV/atom: 0.483
Density, Mg/m³: 13.657

Cell: 9.462 9.462 9.462 Å, 17.08 17.08 17.08°
Fractional coordinates of all 4 atoms:
Y 0.000 0.000 0.000
Mn 0.243 0.243 0.243
Os 0.502 0.502 0.502
Os 0.761 0.761 0.761